(i)
BeAl2Pb | PBE | relaxed

abc: 4.381 6.088 3.261
angles: 74.42 90.14 111.13
Fractional coordinates of all 4 atoms:
Al  0.500  0.000  0.500
Al  0.000  0.000  0.000
Pb  0.500  0.500  0.000
Be  0.000  0.500  0.500

## Properties
SG = No. 12

(ii)
BeAl2Pb | PBE | relaxed

abc: 5.615 5.615 5.615
angles: 147.14 124.43 66.08
Fractional coordinates of all 4 atoms:
Al  0.722  0.222  0.500
Al  0.980  0.980  0.000
Pb  0.275  0.775  0.500
Be  0.523  0.523  0.000

## Properties
SG = No. 44

(iii)
BeAl2Pb | PBE | relaxed

abc: 3.970 3.970 4.822
angles: 90.00 90.00 90.00
Fractional coordinates of all 4 atoms:
Be  0.500  0.000  0.500
Al  0.500  0.500  0.000
Al  0.000  0.000  0.000
Pb  0.000  0.500  0.500

## Properties
SG = No. 123

Name the most stable of them. (i).

(i)
BeAl2Pb2 | PBE | relaxed

abc: 3.697 3.697 9.024
angles: 78.18 78.18 90.00
Fractional coordinates of all 5 atoms:
Pb  0.595  0.595  0.810
Pb  0.405  0.405  0.190
Be  0.000  0.000  0.000
Al  0.250  0.750  0.500
Al  0.750  0.250  0.500

## Properties
SG = No. 139

(ii)
BeAl2Pb2 | PBE | relaxed

abc: 6.525 6.525 5.244
angles: 90.00 90.00 90.00
Fractional coordinates of all 10 atoms:
Pb  0.820  0.320  0.500
Pb  0.320  0.180  0.500
Pb  0.680  0.820  0.500
Pb  0.180  0.680  0.500
Al  0.853  0.647  0.000
Al  0.647  0.147  0.000
Al  0.147  0.353  0.000
Al  0.353  0.853  0.000
Be  0.500  0.500  0.000
Be  0.000  0.000  0.000

## Properties
SG = No. 127

(iii)
BeAl2Pb2 | PBE | relaxed

abc: 7.419 7.419 4.401
angles: 90.00 90.00 90.00
Fractional coordinates of all 10 atoms:
Be  0.000  0.000  0.000
Be  0.500  0.500  0.000
Al  0.129  0.629  0.500
Al  0.871  0.371  0.500
Al  0.629  0.871  0.500
Al  0.371  0.129  0.500
Pb  0.179  0.321  0.000
Pb  0.821  0.679  0.000
Pb  0.321  0.821  0.000
Pb  0.679  0.179  0.000

## Properties
SG = No. 127

Name the most stable of them. (ii).

(i)
Be2AlPb | PBE | relaxed

abc: 3.006 2.985 7.679
angles: 90.00 90.00 90.00
Fractional coordinates of all 4 atoms:
Al  0.500  0.500  0.840
Be  0.000  0.000  0.044
Be  0.500  0.500  0.166
Pb  0.000  0.000  0.449

## Properties
SG = No. 25

(ii)
Be2AlPb | PBE | relaxed

abc: 4.214 4.214 3.746
angles: 90.00 90.00 90.00
Fractional coordinates of all 4 atoms:
Be  0.000  0.000  0.000
Be  0.500  0.500  0.000
Pb  0.500  0.000  0.500
Al  0.000  0.500  0.500

## Properties
SG = No. 123

Name the most stable of them. (i).

(i)
Be2AlPb | PBE | relaxed

abc: 3.656 2.937 6.549
angles: 76.05 90.00 90.00
Fractional coordinates of all 4 atoms:
Pb  0.500  0.250  0.250
Be  0.000  0.314  0.581
Be  0.000  0.186  0.919
Al  0.500  0.750  0.750

## Properties
SG = No. 10

(ii)
Be2AlPb | PBE | relaxed

abc: 4.734 4.734 3.105
angles: 85.98 85.98 103.90
Fractional coordinates of all 4 atoms:
Pb  0.500  0.000  0.500
Be  0.000  0.000  0.000
Be  0.500  0.500  0.000
Al  0.000  0.500  0.500

## Properties
SG = No. 12

Name the most stable of them. (i).

(i)
Be2AlPb | PBE | relaxed

abc: 7.085 7.085 5.787
angles: 52.25 52.25 90.00
Fractional coordinates of all 8 atoms:
Al  0.250  0.750  0.500
Al  0.500  0.500  0.000
Be  0.875  0.846  0.750
Be  0.375  0.404  0.750
Be  0.154  0.625  0.250
Be  0.596  0.125  0.250
Pb  0.750  0.250  0.500
Pb  0.000  0.000  0.000

## Properties
SG = No. 122

(ii)
Be2AlPb | PBE | relaxed

abc: 7.888 7.888 7.888
angles: 23.57 23.57 23.57
Fractional coordinates of all 4 atoms:
Be  0.493  0.493  0.493
Be  0.007  0.007  0.007
Pb  0.250  0.250  0.250
Al  0.750  0.750  0.750

## Properties
SG = No. 166

(iii)
Be2AlPb | PBE | relaxed

abc: 4.622 4.622 4.622
angles: 60.00 60.00 60.00
Fractional coordinates of all 4 atoms:
Be  0.750  0.750  0.750
Be  0.000  0.000  0.000
Al  0.500  0.500  0.500
Pb  0.250  0.250  0.250

## Properties
SG = No. 216

(iv)
Be2AlPb | PBE | relaxed

abc: 2.980 3.618 6.332
angles: 90.00 90.00 90.00
Fractional coordinates of all 4 atoms:
Al  0.500  0.500  0.750
Be  0.000  0.000  0.580
Be  0.000  0.000  0.920
Pb  0.500  0.500  0.250

## Properties
SG = No. 47

Name the most stable of them. (iv).

(i)
Be2AlPb | PBE | relaxed

abc: 4.788 4.788 4.788
angles: 130.91 123.59 77.99
Fractional coordinates of all 4 atoms:
Pb  0.750  0.250  0.500
Al  0.250  0.750  0.500
Be  0.489  0.489  0.000
Be  0.011  0.011  0.000

## Properties
SG = No. 71

(ii)
Be2AlPb | PBE | relaxed

abc: 3.772 3.772 6.141
angles: 70.47 70.47 60.11
Fractional coordinates of all 4 atoms:
Be  0.025  0.025  0.922
Be  0.692  0.692  0.920
Al  0.292  0.292  0.106
Pb  0.490  0.490  0.553

## Properties
SG = No. 8

(iii)
Be2AlPb | PBE | relaxed

abc: 6.230 6.230 6.230
angles: 151.04 143.85 46.97
Fractional coordinates of all 4 atoms:
Pb  0.545  0.545  0.000
Be  0.771  0.271  0.500
Be  0.910  0.910  0.000
Al  0.274  0.774  0.500

## Properties
SG = No. 44

Name the most stable of them. (ii).

(i)
Be2AlPb | PBE | relaxed

abc: 5.194 5.194 5.194
angles: 136.17 136.17 63.71
Fractional coordinates of all 4 atoms:
Pb  0.500  0.500  0.000
Al  0.750  0.250  0.500
Be  0.000  0.000  0.000
Be  0.250  0.750  0.500

## Properties
SG = No. 119

(ii)
Be2AlPb | PBE | relaxed

abc: 4.578 4.578 4.578
angles: 60.00 60.00 60.00
Fractional coordinates of all 4 atoms:
Be  0.750  0.750  0.750
Be  0.250  0.250  0.250
Pb  0.500  0.500  0.500
Al  0.000  0.000  0.000

## Properties
SG = No. 225

Name the most stable of them. (i).

(i)
Be2AlPb | PBE | relaxed

abc: 4.302 4.302 5.528
angles: 82.07 82.07 42.71
Fractional coordinates of all 4 atoms:
Be  0.484  0.484  0.605
Be  0.016  0.016  0.895
Al  0.750  0.750  0.750
Pb  0.250  0.250  0.250

## Properties
SG = No. 12

(ii)
Be2AlPb | PBE | relaxed

abc: 3.875 3.832 4.776
angles: 67.81 90.00 90.00
Fractional coordinates of all 4 atoms:
Be  0.500  0.074  0.232
Be  0.000  0.181  0.996
Pb  0.000  0.482  0.419
Al  0.500  0.764  0.854

## Properties
SG = No. 6

Name the most stable of them. (ii).

(i)
Be3AlPb | PBE | relaxed

abc: 4.488 4.488 4.488
angles: 90.00 90.00 90.00
Fractional coordinates of all 5 atoms:
Be  0.500  0.000  0.000
Be  0.000  0.500  0.000
Be  0.000  0.000  0.500
Al  0.000  0.000  0.000
Pb  0.500  0.500  0.500

## Properties
SG = No. 221

(ii)
Be3AlPb | PBE | relaxed

abc: 4.694 4.694 4.694
angles: 90.00 90.00 90.00
Fractional coordinates of all 5 atoms:
Al  0.500  0.500  0.500
Pb  0.000  0.000  0.000
Be  0.000  0.500  0.000
Be  0.000  0.000  0.500
Be  0.500  0.000  0.000

## Properties
SG = No. 221

Name the most stable of them. (i).

(i)
Be2AlPbSe | PBE | relaxed

abc: 4.393 5.346 4.393
angles: 90.00 90.00 90.00
Fractional coordinates of all 5 atoms:
Se  0.000  0.000  0.000
Be  0.500  0.000  0.000
Be  0.000  0.000  0.500
Al  0.000  0.500  0.000
Pb  0.500  0.500  0.500

## Properties
SG = No. 123

(ii)
Be2AlPbSe | PBE | relaxed

abc: 4.567 5.631 4.567
angles: 90.00 90.00 90.00
Fractional coordinates of all 5 atoms:
Pb  0.000  0.000  0.000
Se  0.500  0.500  0.500
Be  0.000  0.000  0.500
Be  0.500  0.000  0.000
Al  0.000  0.500  0.000

## Properties
SG = No. 123

Name the most stable of them. (i).

(i)
BeAlPd4 | PBE | relaxed

abc: 2.881 6.862 16.681
angles: 90.00 90.00 90.00
Fractional coordinates of all 24 atoms:
Pd  0.750  0.878  0.445
Pd  0.750  0.854  0.653
Pd  0.250  0.015  0.070
Pd  0.250  0.031  0.785
Pd  0.750  0.485  0.570
Pd  0.250  0.146  0.347
Pd  0.250  0.531  0.715
Pd  0.750  0.969  0.215
Pd  0.250  0.515  0.430
Pd  0.250  0.646  0.153
Pd  0.250  0.622  0.945
Pd  0.250  0.122  0.555
Pd  0.750  0.378  0.055
Pd  0.750  0.469  0.285
Pd  0.750  0.354  0.847
Pd  0.750  0.985  0.930
Al  0.750  0.224  0.683
Al  0.750  0.724  0.817
Al  0.250  0.776  0.317
Al  0.250  0.276  0.183
Be  0.250  0.753  0.548
Be  0.250  0.253  0.952
Be  0.750  0.747  0.048
Be  0.750  0.247  0.452

## Properties
SG = No. 62

(ii)
BeAlPd4 | PBE | relaxed

abc: 4.011 4.052 6.867
angles: 72.54 73.02 60.34
Fractional coordinates of all 6 atoms:
Be  0.000  0.000  0.000
Pd  0.878  0.884  0.361
Pd  0.122  0.116  0.639
Pd  0.370  0.370  0.890
Pd  0.630  0.630  0.110
Al  0.500  0.500  0.500

## Properties
SG = No. 12

Name the most stable of them. (i).